{
  "formula": "TaPtO3",
  "functional": "PBE",
  "state": "optimized geometry",
  "lattice": [[3.9716, 0.0000, 0.0000], [0.0000, 3.9716, 0.0000], [0.0000, 0.0000, 3.9716]],
  "species": ["Pt", "O", "O", "O", "Ta"],
  "fractional_positions": [[0.0000, 0.0000, 0.0000], [0.0000, 0.5000, 0.0000], [0.0000, 0.0000, 0.5000], [0.5000, 0.0000, 0.0000], [0.5000, 0.5000, 0.5000]],
  "crystal_system": "cubic",
  "raw_formation_energy_ev_per_atom": 0.298,
  "sg": "No. 221",
  "dos_at_fermi_per_ev_cell": 3.850,
  "m_tot_mub_per_fu": 1.953
}